Computed, not measured: a relaxed Ac3MgV2O9 crystal at the PBE+U level of DFT.

Properties
- V: 191.2 Å³/f.u.
- E_tot: -7.7445 eV per atom

```
data_Ac3MgV2O9
_cell_length_a 5.6697
_cell_length_b 5.6697
_cell_length_c 6.8693
_cell_angle_alpha 90.00
_cell_angle_beta 90.00
_cell_angle_gamma 120.00
_space_group_name_H-M_alt 'P -3 m 1'
_space_group_IT_number 164
_space_group_name_Hall '-P 3 2"'
loop_
_atom_site_label
_atom_site_type_symbol
_atom_site_fract_x
_atom_site_fract_y
_atom_site_fract_z
_atom_site_occupancy
Ac1 Ac 0.0000 0.0000 0.0000 1
Ac2 Ac 0.3333 0.6667 0.6589 1
Mg1 Mg 0.0000 0.0000 0.5000 1
V1 V 0.3333 0.6667 0.1664 1
O1 O 0.0000 0.5000 0.0000 1
O2 O 0.1693 0.3386 0.3280 1
```